(i)
Below is a geometry-optimized CuTcTe2 structure, with properties calculated at the PBE level.

a = 3.4619 Å, b = 3.7562 Å, c = 14.1266 Å
α = 90.00°, β = 90.00°, γ = 90.00°
Last column: nearest neighbours and their distance in Å.
Space group Imm2 (No. 44)
Unique sites:
1 Cu 0.0000 0.0000 0.0000 [2 per cell]  4 Te 2.59, 2 Tc 2.59
2 Tc 0.0000 0.5000 0.8736 [2 per cell]  2 Cu 2.59, 6 Te 2.81-2.85
3 Te 0.0000 0.0000 0.5304 [2 per cell]  4 Cu 2.59, 2 Tc 2.81
4 Te 0.0000 0.5000 0.2846 [2 per cell]  4 Tc 2.85

Values from the calculation:
Its crystal system is orthorhombic.

(ii)
Below is a geometry-optimized CuTcTe2 structure, with properties calculated at the PBE level.

a = 3.4962 Å, b = 3.4962 Å, c = 22.8395 Å
α = 90.00°, β = 90.00°, γ = 120.00°
Last column: nearest neighbours and their distance in Å.
Space group R-3m (No. 166, hexagonal axes)
Unique sites:
1 Cu 0.0000 0.0000 0.0000 [3 per cell]  6 Te 2.79
2 Tc 0.0000 0.0000 0.5000 [3 per cell]  6 Te 2.75
3 Te 0.0000 0.0000 0.2487 [6 per cell]  3 Tc 2.75, 3 Cu 2.79

Values from the calculation:
Its crystal system is trigonal.

What should be chosen as the most stable of them? Choose (i).